# 1
The following is a DFT calculation (PBE-GGA) of an optimized crystal structure of Ho5ScZn6.

Unit cell a=7.874 b=7.874 c=7.068 alpha=90.00 beta=90.00 gamma=143.30
Fractional positions:
Ho: 0.000 0.000 0.000
Ho: 0.331 0.669 0.000
Ho: 0.335 0.665 0.500
Ho: 0.665 0.335 0.500
Ho: 0.669 0.331 0.000
Sc: 0.000 0.000 0.500
Zn: 0.162 0.838 0.257
Zn: 0.162 0.838 0.743
Zn: 0.500 0.500 0.259
Zn: 0.500 0.500 0.741
Zn: 0.838 0.162 0.257
Zn: 0.838 0.162 0.743

Properties
D(E_F), states/eV per cell: 13.1
Formation energy, eV per atom: -0.34

# 2
The following is a DFT calculation (PBE-GGA) of an optimized crystal structure of HoSc3Zn8.

Unit cell a=5.337 b=5.337 c=8.519 alpha=90.00 beta=90.00 gamma=120.00
Fractional positions:
Ho: 0.000 0.000 0.000
Sc: 0.000 0.000 0.380
Sc: 0.667 0.333 0.491
Sc: 0.667 0.333 0.864
Zn: 0.163 0.327 0.681
Zn: 0.163 0.837 0.681
Zn: 0.333 0.667 0.434
Zn: 0.333 0.667 0.934
Zn: 0.504 0.009 0.187
Zn: 0.504 0.496 0.187
Zn: 0.673 0.837 0.681
Zn: 0.991 0.496 0.187

Properties
D(E_F), states/eV per cell: 10.3
Formation energy, eV per atom: -0.33